{
  "formula": "BeMoSeN2",
  "functional": "PBE",
  "state": "relaxed",
  "total_magnetization_mub_per_cell": 0.64,
  "vol_a3_per_cell": 60.0,
  "formation_energy_uncorrected_ev_per_atom": 1.200,
  "lattice": [[3.616, 0.000, 0.000], [0.000, 3.616, 0.000], [0.000, 0.000, 4.586]],
  "species": ["Be", "Mo", "Se", "N", "N"],
  "frac_coords": [[0.000, 0.000, 0.000], [0.500, 0.500, 0.500], [0.000, 0.000, 0.500], [0.000, 0.500, 0.000], [0.500, 0.000, 0.000]]
}

***

{
  "formula": "BeMoSe2N",
  "functional": "PBE",
  "state": "relaxed",
  "total_magnetization_mub_per_cell": 1.68,
  "vol_a3_per_cell": 73.1,
  "formation_energy_uncorrected_ev_per_atom": 0.591,
  "lattice": [[4.844, 0.000, 0.000], [0.000, 4.844, 0.000], [0.000, 0.000, 3.116]],
  "species": ["Be", "Mo", "Se", "Se", "N"],
  "frac_coords": [[0.000, 0.000, 0.000], [0.500, 0.500, 0.500], [0.000, 0.500, 0.000], [0.500, 0.000, 0.000], [0.000, 0.000, 0.500]]
}

***

{
  "formula": "BeMoSeN2",
  "functional": "PBE",
  "state": "relaxed",
  "total_magnetization_mub_per_cell": 0.00,
  "vol_a3_per_cell": 79.4,
  "formation_energy_uncorrected_ev_per_atom": 0.613,
  "lattice": [[-3.489, -1.479, 0.527], [-0.475, -0.231, -3.790], [2.122, -4.993, 0.038]],
  "species": ["Be", "Mo", "Se", "N", "N"],
  "frac_coords": [[0.500, 0.500, 0.500], [0.000, 0.000, 0.000], [0.000, 0.000, 0.500], [0.000, 0.500, 0.000], [0.500, 0.000, 0.000]]
}

***

{
  "formula": "BeMoSe2N",
  "functional": "PBE",
  "state": "relaxed",
  "total_magnetization_mub_per_cell": 0.00,
  "vol_a3_per_cell": 96.0,
  "formation_energy_uncorrected_ev_per_atom": 0.556,
  "lattice": [[-2.998, -3.307, -2.361], [-0.411, -2.673, 4.265], [-3.015, 2.031, 0.982]],
  "species": ["Be", "Mo", "Se", "Se", "N"],
  "frac_coords": [[0.500, 0.500, 0.500], [0.000, 0.000, 0.000], [0.000, 0.500, 0.000], [0.500, 0.000, 0.000], [0.000, 0.000, 0.500]]
}

***

{
  "formula": "SrBeMo2N",
  "functional": "PBE",
  "state": "relaxed",
  "total_magnetization_mub_per_cell": 0.00,
  "vol_a3_per_cell": 100.8,
  "formation_energy_uncorrected_ev_per_atom": 3.899,
  "lattice": [[4.800, 0.000, 0.000], [0.000, 4.377, 0.000], [0.000, 0.000, 4.800]],
  "species": ["Sr", "Mo", "Mo", "Be", "N"],
  "frac_coords": [[0.000, 0.000, 0.000], [0.000, 0.000, 0.500], [0.500, 0.000, 0.000], [0.000, 0.500, 0.000], [0.500, 0.500, 0.500]]
}

***

{
  "formula": "BeTc2MoN",
  "functional": "PBE",
  "state": "relaxed",
  "total_magnetization_mub_per_cell": 0.00,
  "vol_a3_per_cell": 64.4,
  "formation_energy_uncorrected_ev_per_atom": 0.076,
  "lattice": [[-1.273, 3.334, -1.803], [-3.450, -0.197, 2.071], [1.626, 2.199, 2.917]],
  "species": ["Be", "Mo", "Tc", "Tc", "N"],
  "frac_coords": [[0.500, 0.500, 0.500], [0.000, 0.500, 0.000], [0.000, 0.000, 0.500], [0.500, 0.000, 0.000], [0.000, 0.000, 0.000]]
}

***

{
  "formula": "BeTeMoN2",
  "functional": "PBE",
  "state": "relaxed",
  "total_magnetization_mub_per_cell": 0.00,
  "vol_a3_per_cell": 86.0,
  "formation_energy_uncorrected_ev_per_atom": 0.629,
  "lattice": [[3.859, 0.000, 0.000], [0.000, 3.859, 0.000], [0.000, 0.000, 5.775]],
  "species": ["Be", "Mo", "Te", "N", "N"],
  "frac_coords": [[0.500, 0.500, 0.500], [0.000, 0.000, 0.000], [0.000, 0.000, 0.500], [0.000, 0.500, 0.000], [0.500, 0.000, 0.000]]
}

***

{
  "formula": "BeTe2MoN",
  "functional": "PBE",
  "state": "relaxed",
  "total_magnetization_mub_per_cell": 2.25,
  "vol_a3_per_cell": 87.6,
  "formation_energy_uncorrected_ev_per_atom": 0.666,
  "lattice": [[5.317, 0.000, 0.000], [0.000, 5.317, 0.000], [0.000, 0.000, 3.100]],
  "species": ["Be", "Mo", "Te", "Te", "N"],
  "frac_coords": [[0.000, 0.000, 0.000], [0.500, 0.500, 0.500], [0.000, 0.500, 0.000], [0.500, 0.000, 0.000], [0.000, 0.000, 0.500]]
}

***

{
  "formula": "BeTeMoN2",
  "functional": "PBE",
  "state": "relaxed",
  "total_magnetization_mub_per_cell": 0.00,
  "vol_a3_per_cell": 67.8,
  "formation_energy_uncorrected_ev_per_atom": 1.570,
  "lattice": [[-2.505, -2.550, 1.021], [2.668, -2.587, 0.083], [0.863, 1.041, 4.717]],
  "species": ["Be", "Mo", "Te", "N", "N"],
  "frac_coords": [[0.000, 0.000, 0.000], [0.500, 0.500, 0.500], [0.000, 0.000, 0.500], [0.000, 0.500, 0.000], [0.500, 0.000, 0.000]]
}

***

{
  "formula": "BeTe2MoN",
  "functional": "PBE",
  "state": "relaxed",
  "total_magnetization_mub_per_cell": 0.00,
  "vol_a3_per_cell": 110.5,
  "formation_energy_uncorrected_ev_per_atom": 0.642,
  "lattice": [[5.404, 0.000, 0.000], [0.000, 5.404, 0.000], [0.000, 0.000, 3.784]],
  "species": ["Be", "Mo", "Te", "Te", "N"],
  "frac_coords": [[0.500, 0.500, 0.500], [0.000, 0.000, 0.000], [0.000, 0.500, 0.000], [0.500, 0.000, 0.000], [0.000, 0.000, 0.500]]
}

***

{
  "formula": "Th2BeMoN5",
  "functional": "PBE",
  "state": "relaxed",
  "total_magnetization_mub_per_cell": 0.00,
  "vol_a3_per_cell": 223.3,
  "formation_energy_uncorrected_ev_per_atom": -1.070,
  "lattice": [[-0.383, -1.569, 2.865], [3.403, -4.646, -3.978], [8.720, 3.669, 3.174]],
  "species": ["Th", "Th", "Th", "Th", "Be", "Be", "Mo", "Mo", "N", "N", "N", "N", "N", "N", "N", "N", "N", "N"],
  "frac_coords": [[0.872, 0.743, 0.826], [0.120, 0.241, 0.696], [0.128, 0.257, 0.326], [0.880, 0.759, 0.196], [0.555, 0.109, 0.935], [0.445, 0.891, 0.435], [0.811, 0.621, 0.520], [0.189, 0.379, 0.020], [0.340, 0.681, 0.016], [0.687, 0.375, 0.873], [0.499, 0.999, 0.783], [0.301, 0.602, 0.662], [0.955, 0.909, 0.512], [0.660, 0.319, 0.516], [0.313, 0.625, 0.373], [0.501, 0.001, 0.283], [0.699, 0.398, 0.162], [0.045, 0.091, 0.012]]
}

***

{
  "formula": "TiBeMoN2",
  "functional": "PBE",
  "state": "relaxed",
  "total_magnetization_mub_per_cell": 0.95,
  "vol_a3_per_cell": 73.8,
  "formation_energy_uncorrected_ev_per_atom": 1.324,
  "lattice": [[3.814, 0.000, 0.000], [0.000, 5.071, 0.000], [0.000, 0.000, 3.814]],
  "species": ["Be", "Mo", "N", "N", "Ti"],
  "frac_coords": [[0.500, 0.500, 0.500], [0.000, 0.500, 0.000], [0.000, 0.000, 0.500], [0.500, 0.000, 0.000], [0.000, 0.000, 0.000]]
}